VASP calculation (SCAN) on a PBEsol-optimized structure of BeHgPb2.

Summary:
Space-group type: No. 10
Volume (Å³ per atom): 23.60
Total energy (Ry per atom): -4.094
E_form (eV per atom): 0.321

Unit cell a=3.3300 b=3.3475 c=8.4669 alpha=90.00 beta=90.25 gamma=90.00
Fractional coordinates of all 4 atoms:
Be 0.0000 0.0000 0.0000
Hg 0.0000 0.0000 0.5000
Pb 0.4293 0.5000 0.2027
Pb 0.5707 0.5000 0.7973